Here is crystalline PuMnSnF6 at its relaxed geometry from Alexandria. Energies are from PBE+U.

Computed properties:
E_tot (eV/atom): -6.745

Structure (POSCAR):
```
PuMnSnF6
1.0
6.313 0.000 0.000
-3.156 5.467 0.000
0.000 0.000 8.545
Pu Mn Sn F
2 2 2 12
direct
0.333 0.667 0.250
0.667 0.333 0.750
0.333 0.667 0.750
0.667 0.333 0.250
0.000 0.000 0.000
0.000 0.000 0.500
0.028 0.380 0.624
0.028 0.648 0.876
0.352 0.380 0.876
0.352 0.972 0.624
0.380 0.028 0.124
0.380 0.352 0.376
0.620 0.648 0.624
0.620 0.972 0.876
0.648 0.028 0.376
0.648 0.620 0.124
0.972 0.352 0.124
0.972 0.620 0.376
```